Record 1
DFT (PBE-GGA) results for a relaxed structure of SmTh2.

## Properties
N(E_F) (states/eV/f.u.): 6.4
Energy above the lowest structure with this stoichiometry (meV per atom): 234

Geometry as extended XYZ:
```
6
Lattice="0.0000 4.7074 4.7074 4.7074 0.0000 4.7074 4.7074 4.7074 0.0000" Properties=species:S:1:pos:R:3 pbc="T T T"
Sm 1.1768 1.1768 1.1768
Sm 8.2379 8.2379 8.2379
Th 4.7074 2.3537 2.3537
Th 2.3537 4.7074 2.3537
Th 2.3537 2.3537 4.7074
Th 4.7074 4.7074 4.7074
```

Record 2
DFT (PBE-GGA) results for a relaxed structure of SmTh.

## Properties
N(E_F) (states/eV/f.u.): 2.7
Energy above the lowest structure with this stoichiometry (meV per atom): 38

Geometry as extended XYZ:
```
2
Lattice="1.7903 1.0336 5.8882 -1.7903 1.0336 5.8882 0.0000 -2.0672 5.8882" Properties=species:S:1:pos:R:3 pbc="T T T"
Sm 0.0000 0.0000 0.0000
Th 0.0000 0.0000 8.8323
```

Record 3
DFT (PBE-GGA) results for a relaxed structure of Sm2Th.

## Properties
N(E_F) (states/eV/f.u.): 4.0
Energy above the lowest structure with this stoichiometry (meV per atom): 0

Geometry as extended XYZ:
```
3
Lattice="1.8172 1.0491 8.7175 -1.8172 1.0491 8.7175 0.0000 -2.0983 8.7175" Properties=species:S:1:pos:R:3 pbc="T T T"
Sm 0.0000 0.0000 5.8943
Sm 0.0000 0.0000 20.2581
Th 0.0000 0.0000 0.0000
```

Record 4
DFT (PBE-GGA) results for a relaxed structure of Sm5Th.

## Properties
N(E_F) (states/eV/f.u.): 9.1
Energy above the lowest structure with this stoichiometry (meV per atom): 0

Geometry as extended XYZ:
```
6
Lattice="3.6213 0.0000 0.0000 -1.8107 3.1361 0.0000 0.0000 0.0000 17.7353" Properties=species:S:1:pos:R:3 pbc="T T T"
Sm 0.0000 0.0000 0.0000
Sm 0.0000 2.0908 2.9506
Sm 0.0000 2.0908 11.7369
Sm 1.8107 1.0454 5.9984
Sm 1.8107 1.0454 14.7848
Th 0.0000 0.0000 8.8677
```

Record 5
DFT (PBE-GGA) results for a relaxed structure of Sm7Th.

## Properties
N(E_F) (states/eV/f.u.): 8.9
DFT total energy (eV/atom): -5.0295

Geometry as extended XYZ:
```
8
Lattice="0.0000 5.1178 5.1178 5.1178 0.0000 5.1178 5.1178 5.1178 0.0000" Properties=species:S:1:pos:R:3 pbc="T T T"
Sm 0.0000 0.0000 0.0000
Sm 2.5589 2.5589 0.0000
Sm 2.5589 0.0000 2.5589
Sm 5.1178 2.5589 2.5589
Sm 0.0000 2.5589 2.5589
Sm 2.5589 5.1178 2.5589
Sm 2.5589 2.5589 5.1178
Th 5.1178 5.1178 5.1178
```

Record 6
DFT (PBE-GGA) results for a relaxed structure of Sm7Th2.

## Properties
N(E_F) (states/eV/f.u.): 14.5
DFT total energy (eV/atom): -5.2815

Geometry as extended XYZ:
```
9
Lattice="6.2583 0.0000 0.0000 -3.1291 5.4198 0.0000 0.0000 0.0000 8.8787" Properties=species:S:1:pos:R:3 pbc="T T T"
Sm 0.0000 0.0000 0.0000
Sm -1.0557 1.8286 5.9800
Sm -2.0734 3.5913 2.8987
Sm 2.1114 0.0000 5.9800
Sm 1.0557 1.8286 2.8987
Sm 4.1469 0.0000 2.8987
Sm 2.0734 3.5913 5.9800
Th 0.0000 3.6132 0.0000
Th 3.1291 1.8066 0.0000
```

Which of these has the highest N(E_F)? Sm7Th2

N(E_F) of number 3 (Sm2Th)? 4.0 states/eV/f.u.